[1]
{"formula": "Ba2In6PtRh", "functional": "PBE", "state": "relaxed", "lattice_angstrom": [[-3.712, 3.734, 5.214], [3.712, -3.734, 5.214], [3.712, 3.734, -5.214]], "species": ["Ba", "Ba", "In", "In", "In", "In", "In", "In", "Pt", "Rh"], "frac_coords": [[0.209, 0.209, 0.000], [0.791, 0.791, 0.000], [0.252, 0.752, 0.500], [0.286, 0.282, 0.569], [0.286, 0.718, 0.004], [0.714, 0.282, 0.996], [0.714, 0.718, 0.431], [0.748, 0.248, 0.500], [0.000, 0.500, 0.500], [0.500, 0.000, 0.500]], "density_g_cm3": 7.2, "spacegroup": "No. 71", "ef_mev_per_atom": -411}


[2]
{"formula": "LiMg2Co", "functional": "PBE", "state": "relaxed", "lattice_angstrom": [[6.385, 0.000, 0.000], [0.000, 6.385, 0.000], [0.000, 0.000, 6.385]], "species": ["Li", "Li", "Li", "Li", "Mg", "Mg", "Mg", "Mg", "Mg", "Mg", "Mg", "Mg", "Co", "Co", "Co", "Co"], "frac_coords": [[0.000, 0.000, 0.000], [0.000, 0.500, 0.500], [0.500, 0.000, 0.500], [0.500, 0.500, 0.000], [0.000, 0.000, 0.500], [0.000, 0.500, 0.000], [0.250, 0.250, 0.250], [0.250, 0.750, 0.750], [0.500, 0.000, 0.000], [0.500, 0.500, 0.500], [0.750, 0.250, 0.750], [0.750, 0.750, 0.250], [0.250, 0.250, 0.750], [0.250, 0.750, 0.250], [0.750, 0.250, 0.250], [0.750, 0.750, 0.750]], "density_g_cm3": 2.9, "spacegroup": "No. 216", "ef_mev_per_atom": 227}


[3]
{"formula": "Ag12HgPd6", "functional": "PBE", "state": "relaxed", "lattice_angstrom": [[5.633, 3.252, 3.100], [-5.633, 3.252, 3.100], [0.000, -6.505, 3.100]], "species": ["Ag", "Ag", "Ag", "Ag", "Ag", "Ag", "Ag", "Ag", "Ag", "Ag", "Ag", "Ag", "Hg", "Pd", "Pd", "Pd", "Pd", "Pd", "Pd"], "frac_coords": [[0.000, 0.264, 0.736], [0.000, 0.736, 0.264], [0.192, 0.584, 0.584], [0.264, 0.000, 0.736], [0.264, 0.736, 0.000], [0.416, 0.416, 0.808], [0.416, 0.808, 0.416], [0.584, 0.192, 0.584], [0.584, 0.584, 0.192], [0.736, 0.000, 0.264], [0.736, 0.264, 0.000], [0.808, 0.416, 0.416], [0.000, 0.000, 0.000], [0.166, 0.166, 0.417], [0.166, 0.417, 0.166], [0.417, 0.166, 0.166], [0.583, 0.834, 0.834], [0.834, 0.583, 0.834], [0.834, 0.834, 0.583]], "density_g_cm3": 10.4, "spacegroup": "No. 166", "ef_mev_per_atom": 67}